VASP calculation (GGA-PBE) on a relaxed Tl14CdPb crystal.

Cell lengths 7.008, 7.008, 11.384 Å; angles 90.00, 90.00, 120.07 degrees
Sites, in units of the cell vectors:
1 Tl 0.378 0.622 0.743
2 Tl 0.874 0.623 0.745
3 Tl 0.875 0.125 0.753
4 Tl 0.705 0.789 0.000
5 Tl 0.705 0.295 0.000
6 Tl 0.378 0.622 0.257
7 Tl 0.875 0.125 0.247
8 Tl 0.377 0.126 0.255
9 Tl 0.377 0.126 0.745
10 Tl 0.211 0.295 0.000
11 Tl 0.039 0.456 0.500
12 Tl 0.544 0.961 0.500
13 Tl 0.210 0.790 0.000
14 Tl 0.874 0.623 0.255
15 Cd 0.541 0.459 0.500
16 Pb 0.038 0.962 0.500

Magnetization, Bohr magnetons per cell: 0.000
ρ, kg/m³: 10916
DOS(E_F), states/eV/cell: 8.4
Symmetry: Amm2
ΔH_f (0 K), meV/atom: 19.3